# 1
VASP calculation (PBE) on a relaxed TaNbGaN crystal.

size of the total moment = 0.000 μB per atom
E above lowest polymorph = 0.029 eV per atom

Structure (CIF):
```
data_TaNbGaN
_symmetry_space_group_name_H-M 'P -3 m 1'
_symmetry_Int_Tables_number 164
_symmetry_space_group_name_Hall '-P 3 2"'
_cell_length_a 3.1156
_cell_length_b 3.1156
_cell_length_c 13.5678
_cell_angle_alpha 90.00
_cell_angle_beta 90.00
_cell_angle_gamma 120.00
loop_
_atom_site_label
_atom_site_fract_x
_atom_site_fract_y
_atom_site_fract_z
Ta1 0.3333 0.6667 0.4104
Nb1 0.3333 0.6667 0.0901
Ga1 0.3333 0.6667 0.7500
N1 0.0000 0.0000 0.0000
N2 0.0000 0.0000 0.5000
```

=====

# 2
VASP calculation (PBE) on a relaxed Na4Ga2PdAu crystal.

calculated total energy = -21.133 eV for the cell shown

Structure (CIF):
```
data_Na4Ga2PdAu
_symmetry_space_group_name_H-M 'P -4 m 2'
_symmetry_Int_Tables_number 115
_symmetry_space_group_name_Hall 'P -4 -2'
_cell_length_a 4.788
_cell_length_b 4.788
_cell_length_c 6.790
_cell_angle_alpha 90.00
_cell_angle_beta 90.00
_cell_angle_gamma 90.00
loop_
_atom_site_label
_atom_site_fract_x
_atom_site_fract_y
_atom_site_fract_z
Na1 0.000 0.000 0.000
Na2 0.000 0.500 0.748
Na3 0.500 0.500 0.500
Ga1 0.000 0.500 0.264
Pd1 0.000 0.000 0.500
Au1 0.500 0.500 0.000
```

=====

# 3
VASP calculation (PBE) on a relaxed Tb3Si4Tc2 crystal.

size of the total moment = 0.003 μB per atom
calculated total energy = -125.344 eV for the cell shown

Structure (CIF):
```
data_Tb3Si4Tc2
_symmetry_space_group_name_H-M 'C 1 2/m 1'
_symmetry_Int_Tables_number 12
_symmetry_space_group_name_Hall '-C 2y'
_cell_length_a 10.774
_cell_length_b 4.189
_cell_length_c 8.167
_cell_angle_alpha 90.00
_cell_angle_beta 109.17
_cell_angle_gamma 90.00
loop_
_atom_site_label
_atom_site_fract_x
_atom_site_fract_y
_atom_site_fract_z
Tb1 0.000 0.000 0.000
Tb2 0.122 0.500 0.697
Si1 0.101 0.000 0.415
Si2 0.216 0.500 0.075
Tc1 0.181 0.500 0.351
```

=====

# 4
VASP calculation (PBE) on a relaxed Ta3SiC2 crystal.

size of the total moment = 0.000 μB per atom
calculated total energy = -125.148 eV for the cell shown

Structure (CIF):
```
data_Ta3SiC2
_symmetry_space_group_name_H-M 'P 63/m m c'
_symmetry_Int_Tables_number 194
_symmetry_space_group_name_Hall '-P 6c 2c'
_cell_length_a 3.1552
_cell_length_b 3.1552
_cell_length_c 18.0066
_cell_angle_alpha 90.00
_cell_angle_beta 90.00
_cell_angle_gamma 120.00
loop_
_atom_site_label
_atom_site_fract_x
_atom_site_fract_y
_atom_site_fract_z
Ta1 0.0000 0.0000 0.0000
Ta2 0.3333 0.6667 0.1409
Si1 0.0000 0.0000 0.2500
C1 0.3333 0.6667 0.5726
```

=====

# 5
VASP calculation (PBE) on a relaxed NdTcOs crystal.

size of the total moment = 0.852 μB per atom
energy relative to the elements = 1.667 eV per atom

Structure (CIF):
```
data_NdTcOs
_symmetry_space_group_name_H-M 'F -4 3 m'
_symmetry_Int_Tables_number 216
_symmetry_space_group_name_Hall 'F -4 2 3'
_cell_length_a 6.440
_cell_length_b 6.440
_cell_length_c 6.440
_cell_angle_alpha 90.00
_cell_angle_beta 90.00
_cell_angle_gamma 90.00
loop_
_atom_site_label
_atom_site_fract_x
_atom_site_fract_y
_atom_site_fract_z
Nd1 0.000 0.000 0.000
Tc1 0.250 0.250 0.250
Os1 0.250 0.250 0.750
```

=====

# 6
VASP calculation (PBE) on a relaxed NaHoGeO4 crystal.

size of the total moment = 0.000 μB per atom
calculated total energy = -190.812 eV for the cell shown

Structure (CIF):
```
data_NaHoGeO4
_symmetry_space_group_name_H-M 'P n m a'
_symmetry_Int_Tables_number 62
_symmetry_space_group_name_Hall '-P 2ac 2n'
_cell_length_a 11.362
_cell_length_b 6.390
_cell_length_c 5.254
_cell_angle_alpha 90.00
_cell_angle_beta 90.00
_cell_angle_gamma 90.00
loop_
_atom_site_label
_atom_site_fract_x
_atom_site_fract_y
_atom_site_fract_z
Na1 0.000 0.000 0.000
Ho1 0.223 0.250 0.496
Ge1 0.097 0.750 0.555
O1 0.047 0.250 0.322
O2 0.109 0.750 0.226
O3 0.174 0.540 0.711
```

=====

# 7
VASP calculation (PBE) on a relaxed NaTePdAuSe2 crystal.

calculated total energy = -87.572 eV for the cell shown

Structure (CIF):
```
data_NaTePdAuSe2
_symmetry_space_group_name_H-M 'C m c m'
_symmetry_Int_Tables_number 63
_symmetry_space_group_name_Hall '-C 2c 2'
_cell_length_a 3.672
_cell_length_b 15.127
_cell_length_c 10.685
_cell_angle_alpha 90.00
_cell_angle_beta 90.00
_cell_angle_gamma 90.00
loop_
_atom_site_label
_atom_site_fract_x
_atom_site_fract_y
_atom_site_fract_z
Na1 0.000 0.225 0.250
Te1 0.000 0.444 0.750
Pd1 0.000 0.500 0.000
Au1 0.000 0.122 0.750
Se1 0.000 0.116 0.520
```

=====

# 8
VASP calculation (PBE) on a relaxed Pm2CdCu2 crystal.

size of the total moment = 0.002 μB per atom
energy relative to the elements = -0.274 eV per atom

Structure (CIF):
```
data_Pm2CdCu2
_symmetry_space_group_name_H-M 'P 4/m b m'
_symmetry_Int_Tables_number 127
_symmetry_space_group_name_Hall '-P 4 2ab'
_cell_length_a 7.655
_cell_length_b 7.655
_cell_length_c 3.836
_cell_angle_alpha 90.00
_cell_angle_beta 90.00
_cell_angle_gamma 90.00
loop_
_atom_site_label
_atom_site_fract_x
_atom_site_fract_y
_atom_site_fract_z
Pm1 0.174 0.326 0.000
Cd1 0.000 0.000 0.500
Cu1 0.119 0.619 0.500
```

=====

# 9
VASP calculation (PBE) on a relaxed PrEr crystal.

size of the total moment = 0.003 μB per atom
energy relative to the elements = 0.043 eV per atom
E above lowest polymorph = 0.000 eV per atom

Structure (CIF):
```
data_PrEr
_symmetry_space_group_name_H-M 'P -6 m 2'
_symmetry_Int_Tables_number 187
_symmetry_space_group_name_Hall 'P -6 2'
_cell_length_a 3.6493
_cell_length_b 3.6493
_cell_length_c 5.7878
_cell_angle_alpha 90.00
_cell_angle_beta 90.00
_cell_angle_gamma 120.00
loop_
_atom_site_label
_atom_site_fract_x
_atom_site_fract_y
_atom_site_fract_z
Pr1 0.0000 0.0000 0.0000
Er1 0.3333 0.6667 0.5000
```

=====

# 10
VASP calculation (PBE) on a relaxed LiTcNiPb crystal.

size of the total moment = 0.785 μB per atom
E above lowest polymorph = 0.000 eV per atom

Structure (CIF):
```
data_LiTcNiPb
_symmetry_space_group_name_H-M 'F -4 3 m'
_symmetry_Int_Tables_number 216
_symmetry_space_group_name_Hall 'F -4 2 3'
_cell_length_a 6.278
_cell_length_b 6.278
_cell_length_c 6.278
_cell_angle_alpha 90.00
_cell_angle_beta 90.00
_cell_angle_gamma 90.00
loop_
_atom_site_label
_atom_site_fract_x
_atom_site_fract_y
_atom_site_fract_z
Li1 0.000 0.000 0.000
Tc1 0.250 0.250 0.750
Ni1 0.000 0.000 0.500
Pb1 0.250 0.250 0.250
```

=====

# 11
VASP calculation (PBE) on a relaxed LaH6Au3C6N6O3 crystal.

size of the total moment = 0.001 μB per atom
calculated total energy = -328.312 eV for the cell shown

Structure (CIF):
```
data_LaH6Au3C6N6O3
_symmetry_space_group_name_H-M 'P 63/m c m'
_symmetry_Int_Tables_number 193
_symmetry_space_group_name_Hall '-P 6c 2'
_cell_length_a 6.3394
_cell_length_b 6.3394
_cell_length_c 19.2623
_cell_angle_alpha 90.00
_cell_angle_beta 90.00
_cell_angle_gamma 120.00
loop_
_atom_site_label
_atom_site_fract_x
_atom_site_fract_y
_atom_site_fract_z
La1 0.0000 0.0000 0.2500
H1 0.0000 0.4832 0.2090
Au1 0.0000 0.5000 0.0000
C1 0.0000 0.3643 0.5931
N1 0.0000 0.2839 0.6480
O1 0.0000 0.3901 0.2500
```

=====

# 12
VASP calculation (PBE) on a relaxed LaPrNd2Zn12Ge6 crystal.

size of the total moment = 0.000 μB per atom
calculated total energy = -71.640 eV for the cell shown

Structure (CIF):
```
data_LaPrNd2Zn12Ge6
_symmetry_space_group_name_H-M 'P 1 m 1'
_symmetry_Int_Tables_number 6
_symmetry_space_group_name_Hall 'P -2y'
_cell_length_a 7.689
_cell_length_b 4.122
_cell_length_c 13.320
_cell_angle_alpha 90.00
_cell_angle_beta 90.00
_cell_angle_gamma 90.00
loop_
_atom_site_label
_atom_site_fract_x
_atom_site_fract_y
_atom_site_fract_z
La1 0.000 0.000 0.000
Pr1 0.500 0.000 0.832
Nd1 0.000 0.000 0.334
Nd2 0.500 0.000 0.500
Zn1 0.145 0.500 0.522
Zn2 0.145 0.500 0.810
Zn3 0.189 0.000 0.666
Zn4 0.211 0.500 0.167
Zn5 0.405 0.000 0.261
Zn6 0.408 0.000 0.072
Zn7 0.644 0.500 0.022
Zn8 0.644 0.500 0.312
Zn9 0.689 0.000 0.168
Zn10 0.710 0.500 0.666
Zn11 0.905 0.000 0.572
Zn12 0.905 0.000 0.760
Ge1 0.309 0.500 0.358
Ge2 0.310 0.500 0.976
Ge3 0.381 0.500 0.665
Ge4 0.809 0.500 0.476
Ge5 0.810 0.500 0.856
Ge6 0.881 0.500 0.168
```